Entry 1:
DFT (PBE) results for a relaxed Sr2Mg3ScSn4 crystal.

VASP energy	-3.508	eV per atom
total moment	0.00	μB/f.u.

Unit cell a=4.8405 b=4.8405 c=12.2019 alpha=90.00 beta=90.00 gamma=90.00
Space group P-4m2 (No. 115)
Inequivalent atoms, fractional coordinates:
Sr 0.0000 0.5000 0.2402 (multiplicity 2)
Mg 0.0000 0.5000 0.8660 (multiplicity 2)
Mg 0.5000 0.5000 0.5000 (multiplicity 1)
Sc 0.0000 0.0000 0.5000 (multiplicity 1)
Sn 0.0000 0.0000 0.0000 (multiplicity 1)
Sn 0.0000 0.5000 0.6377 (multiplicity 2)
Sn 0.5000 0.5000 0.0000 (multiplicity 1)

Entry 2:
DFT (PBE) results for a relaxed V2Re3Mo crystal.

VASP energy	-11.284	eV per atom
total moment	0.00	μB/f.u.

Unit cell a=3.0671 b=3.0671 c=9.2669 alpha=90.00 beta=90.00 gamma=90.00
Space group P4/mmm (No. 123)
Inequivalent atoms, fractional coordinates:
V 0.0000 0.0000 0.1625 (multiplicity 2)
Re 0.5000 0.5000 0.0000 (multiplicity 1)
Re 0.5000 0.5000 0.3239 (multiplicity 2)
Mo 0.0000 0.0000 0.5000 (multiplicity 1)

Entry 3:
DFT (PBE) results for a relaxed Zr2MoCl crystal.

VASP energy	-7.471	eV per atom
total moment	0.92	μB/f.u.

Unit cell a=3.2599 b=3.2599 c=29.3838 alpha=90.00 beta=90.00 gamma=120.00
Space group R3m (No. 160, hexagonal axes)
Inequivalent atoms, fractional coordinates:
Zr 0.0000 0.0000 0.0000 (multiplicity 3)
Zr 0.0000 0.0000 0.2452 (multiplicity 3)
Mo 0.0000 0.0000 0.7337 (multiplicity 3)
Cl 0.0000 0.0000 0.5162 (multiplicity 3)

Entry 4:
DFT (PBE) results for a relaxed Na2HF4 crystal.

VASP energy	-3.978	eV per atom
total moment	1.03	μB/f.u.

Unit cell a=4.7598 b=3.5872 c=6.0204 alpha=90.00 beta=110.35 gamma=90.00
Space group P2/m (No. 10)
Inequivalent atoms, fractional coordinates:
Na 0.0000 0.0000 0.0000 (multiplicity 1)
Na 0.5000 0.5000 0.5000 (multiplicity 1)
H 0.0000 0.0000 0.5000 (multiplicity 1)
F 0.1707 0.0000 0.4055 (multiplicity 2)
F 0.3452 0.5000 0.0773 (multiplicity 2)

Entry 5:
DFT (PBE) results for a relaxed Pu2AlSi crystal.

VASP energy	-9.743	eV per atom
total moment	0.03	μB/f.u.

Unit cell a=4.9970 b=5.2087 c=6.0063 alpha=75.53 beta=89.89 gamma=89.91
Space group P1 (No. 1)
Inequivalent atoms, fractional coordinates:
Pu 0.0000 0.0000 0.0000 (multiplicity 1)
Pu 0.2290 0.5537 0.3061 (multiplicity 1)
Pu 0.4619 0.0518 0.8065 (multiplicity 1)
Pu 0.6966 0.5027 0.4982 (multiplicity 1)
Al 0.7008 0.4919 0.0049 (multiplicity 1)
Al 0.9926 0.9935 0.5060 (multiplicity 1)
Si 0.1879 0.5536 0.7964 (multiplicity 1)
Si 0.5055 0.0556 0.2969 (multiplicity 1)

Entry 6:
DFT (PBE) results for a relaxed PdS2N crystal.

VASP energy	-4.593	eV per atom
total moment	0.00	μB/f.u.

Unit cell a=5.0531 b=5.0531 c=10.2503 alpha=90.00 beta=90.00 gamma=90.00
Space group I-42d (No. 122)
Inequivalent atoms, fractional coordinates:
Pd 0.0000 0.0000 0.0000 (multiplicity 4)
S 0.1975 0.2500 0.6250 (multiplicity 8)
N 0.0000 0.0000 0.5000 (multiplicity 4)